[1]
Density functional theory data (PBE) for an optimized crystal structure of Pm4Sb3. Values from VASP.

Computed properties:
Its polymorph energy (0 for the lowest one) is 0.0 kJ per mole of atoms. The calculation puts the density of states at the Fermi level at 0.823 states/eV/atom. Its raw total energy is -5.4521 eV per atom.

The structure in Quantum ESPRESSO input format:
```
&SYSTEM
  ibrav = 0, nat = 14, ntyp = 2
/
ATOMIC_SPECIES
Sb 121.76 Sb.upf
Pm 145.00 Pm.upf
CELL_PARAMETERS angstrom
-3.1323 2.6247 5.0417
1.7162 -8.3586 2.6330
7.2537 5.1222 -0.9447
ATOMIC_POSITIONS crystal
Sb 0.4489 0.1991 0.3976
Sb 0.5511 0.8009 0.6024
Sb 0.7502 0.8015 0.1991
Sb 0.0513 0.6024 0.8015
Sb 0.9487 0.3976 0.1985
Sb 0.2498 0.1985 0.8009
Pm 0.4715 0.4431 0.2213
Pm 0.5285 0.5569 0.7787
Pm 0.0000 0.0000 0.0000
Pm 0.9716 0.2218 0.4431
Pm 0.0284 0.7782 0.5569
Pm 0.7498 0.2213 0.7782
Pm 0.2502 0.7787 0.2218
Pm 0.5000 0.0000 0.0000
```

[2]
Density functional theory data (PBE) for an optimized crystal structure of PmSb2. Values from VASP.

Computed properties:
Its polymorph energy (0 for the lowest one) is 11.6 kJ per mole of atoms. The calculation puts the density of states at the Fermi level at 0.610 states/eV/atom. Its raw total energy is -5.0056 eV per atom.

The structure in Quantum ESPRESSO input format:
```
&SYSTEM
  ibrav = 0, nat = 3, ntyp = 2
/
ATOMIC_SPECIES
Pm 145.00 Pm.upf
Sb 121.76 Sb.upf
CELL_PARAMETERS angstrom
4.1198 0.0029 0.0003
0.0029 4.1198 0.0003
-2.0597 -2.0597 5.0070
ATOMIC_POSITIONS crystal
Pm 0.5000 0.5000 0.0000
Sb 0.1513 0.1513 0.3046
Sb 0.8487 0.8487 0.6954
```

[3]
Density functional theory data (PBE) for an optimized crystal structure of Pm8Sb3. Values from VASP.

Computed properties:
The calculation puts the density of states at the Fermi level at 1.478 states/eV/atom. Its raw total energy is -4.9352 eV per atom.

The structure in Quantum ESPRESSO input format:
```
&SYSTEM
  ibrav = 0, nat = 11, ntyp = 2
/
ATOMIC_SPECIES
Sb 121.76 Sb.upf
Pm 145.00 Pm.upf
CELL_PARAMETERS angstrom
-1.6476 -1.8231 -6.8589
5.9320 -4.2114 -0.3979
-3.8143 -5.7452 2.3509
ATOMIC_POSITIONS crystal
Sb 0.5000 0.0000 0.5000
Sb 0.0000 0.5000 0.5000
Sb 0.5000 0.5000 0.0000
Pm 0.8766 0.3208 0.1405
Pm 0.8595 0.1234 0.6792
Pm 0.3614 0.3614 0.3614
Pm 0.6386 0.6386 0.6386
Pm 0.6792 0.8595 0.1234
Pm 0.1405 0.8766 0.3208
Pm 0.3208 0.1405 0.8766
Pm 0.1234 0.6792 0.8595
```

[4]
Density functional theory data (PBE) for an optimized crystal structure of Pm4Sb3. Values from VASP.

Computed properties:
Its polymorph energy (0 for the lowest one) is 10.6 kJ per mole of atoms. The calculation puts the density of states at the Fermi level at 0.997 states/eV/atom. Its raw total energy is -5.3422 eV per atom.

The structure in Quantum ESPRESSO input format:
```
&SYSTEM
  ibrav = 0, nat = 7, ntyp = 2
/
ATOMIC_SPECIES
Pm 145.00 Pm.upf
Sb 121.76 Sb.upf
CELL_PARAMETERS angstrom
6.2628 0.0000 0.0000
0.0000 6.2628 0.0000
0.0000 0.0000 6.2628
ATOMIC_POSITIONS crystal
Pm 0.0000 0.0000 0.0000
Pm 0.5000 0.0000 0.5000
Pm 0.0000 0.5000 0.5000
Pm 0.5000 0.5000 0.0000
Sb 0.0000 0.0000 0.5000
Sb 0.5000 0.0000 0.0000
Sb 0.0000 0.5000 0.0000
```

[5]
Density functional theory data (PBE) for an optimized crystal structure of PmSb2. Values from VASP.

Computed properties:
Its polymorph energy (0 for the lowest one) is 50.9 kJ per mole of atoms. The calculation puts the density of states at the Fermi level at 0.974 states/eV/atom. Its raw total energy is -4.5981 eV per atom.

The structure in Quantum ESPRESSO input format:
```
&SYSTEM
  ibrav = 0, nat = 6, ntyp = 2
/
ATOMIC_SPECIES
Pm 145.00 Pm.upf
Sb 121.76 Sb.upf
CELL_PARAMETERS angstrom
6.2935 0.0000 0.0000
3.1467 5.4503 0.0000
3.1467 1.8168 5.1386
ATOMIC_POSITIONS crystal
Pm 0.0000 0.0000 0.0000
Pm 0.2500 0.2500 0.2500
Sb 0.6250 0.6250 0.6250
Sb 0.6250 0.1250 0.6250
Sb 0.1250 0.6250 0.6250
Sb 0.6250 0.6250 0.1250
```

[6]
Density functional theory data (PBE) for an optimized crystal structure of Pm3ScSb4. Values from VASP.

Computed properties:
The calculation puts the density of states at the Fermi level at 0.142 states/eV/atom. Its raw total energy is -5.7339 eV per atom.

The structure in Quantum ESPRESSO input format:
```
&SYSTEM
  ibrav = 0, nat = 8, ntyp = 3
/
ATOMIC_SPECIES
Sb 121.76 Sb.upf
Sc 44.96 Sc.upf
Pm 145.00 Pm.upf
CELL_PARAMETERS angstrom
4.4230 0.0000 0.0000
0.0000 7.6480 -0.0760
0.0000 -2.4834 7.2340
ATOMIC_POSITIONS crystal
Sb 0.5000 0.2428 0.7572
Sb 0.5000 0.7572 0.2428
Sb 0.0000 0.2358 0.2358
Sb 0.0000 0.7642 0.7642
Sc 0.5000 0.0000 0.0000
Pm 0.5000 0.5000 0.5000
Pm 0.0000 0.5000 0.0000
Pm 0.0000 0.0000 0.5000
```

[7]
Density functional theory data (PBE) for an optimized crystal structure of PmSc4Sb5. Values from VASP.

Computed properties:
The calculation puts the density of states at the Fermi level at 0.187 states/eV/atom. Its raw total energy is -6.0327 eV per atom.

The structure in Quantum ESPRESSO input format:
```
&SYSTEM
  ibrav = 0, nat = 10, ntyp = 3
/
ATOMIC_SPECIES
Sc 44.96 Sc.upf
Sb 121.76 Sb.upf
Pm 145.00 Pm.upf
CELL_PARAMETERS angstrom
4.1515 0.0000 -0.8009
-0.3102 5.7922 -1.6078
0.0042 -0.0234 11.1818
ATOMIC_POSITIONS crystal
Sc 0.2044 0.2044 0.4089
Sc 0.7956 0.7956 0.5911
Sc 0.6002 0.6002 0.2004
Sc 0.3998 0.3998 0.7996
Sb 0.0000 0.5000 0.0000
Sb 0.8016 0.3016 0.6033
Sb 0.1984 0.6984 0.3967
Sb 0.3915 0.8915 0.7830
Sb 0.6085 0.1085 0.2170
Pm 0.0000 0.0000 0.0000
```

[8]
Density functional theory data (PBE) for an optimized crystal structure of PmScSb2. Values from VASP.

Computed properties:
Its polymorph energy (0 for the lowest one) is 8.3 kJ per mole of atoms. The calculation puts the density of states at the Fermi level at 0.142 states/eV/atom. Its raw total energy is -5.7943 eV per atom.

The structure in Quantum ESPRESSO input format:
```
&SYSTEM
  ibrav = 0, nat = 4, ntyp = 3
/
ATOMIC_SPECIES
Sb 121.76 Sb.upf
Pm 145.00 Pm.upf
Sc 44.96 Sc.upf
CELL_PARAMETERS angstrom
4.3025 0.0000 0.0000
2.1512 3.7260 0.0000
2.1512 1.2420 7.2846
ATOMIC_POSITIONS crystal
Sb 0.0748 0.0748 0.7756
Sb 0.2583 0.2583 0.2251
Pm 0.4979 0.4979 0.5062
Sc 0.6690 0.6690 0.9931
```

[9]
Density functional theory data (PBE) for an optimized crystal structure of Pm8ScSb6. Values from VASP.

Computed properties:
The calculation puts the density of states at the Fermi level at 0.590 states/eV/atom. Its raw total energy is -5.3825 eV per atom.

The structure in Quantum ESPRESSO input format:
```
&SYSTEM
  ibrav = 0, nat = 15, ntyp = 3
/
ATOMIC_SPECIES
Pm 145.00 Pm.upf
Sb 121.76 Sb.upf
Sc 44.96 Sc.upf
CELL_PARAMETERS angstrom
-6.6979 2.6980 -2.5173
-2.8849 -2.5052 -6.6241
-7.9299 -7.2034 1.7639
ATOMIC_POSITIONS crystal
Pm 0.3332 0.3332 0.0005
Pm 0.8842 0.5387 0.3521
Pm 0.4613 0.7750 0.6479
Pm 0.6668 0.6668 0.9995
Pm 0.5387 0.2250 0.3521
Pm 0.7750 0.1158 0.6479
Pm 0.1158 0.4613 0.6479
Pm 0.2250 0.8842 0.3521
Sb 0.2616 0.6211 0.1774
Sb 0.7384 0.3789 0.8226
Sb 0.3789 0.0601 0.8226
Sb 0.0601 0.7384 0.8226
Sb 0.6211 0.9399 0.1774
Sb 0.9399 0.2616 0.1774
Sc 0.0000 0.0000 0.0000
```

[10]
Density functional theory data (PBE) for an optimized crystal structure of Pm2ScSb. Values from VASP.

Computed properties:
Its polymorph energy (0 for the lowest one) is 0.0 kJ per mole of atoms. The calculation puts the density of states at the Fermi level at 0.904 states/eV/atom. Its raw total energy is -5.5048 eV per atom.

The structure in Quantum ESPRESSO input format:
```
&SYSTEM
  ibrav = 0, nat = 4, ntyp = 3
/
ATOMIC_SPECIES
Sb 121.76 Sb.upf
Pm 145.00 Pm.upf
Sc 44.96 Sc.upf
CELL_PARAMETERS angstrom
4.1720 0.0000 0.0000
0.0000 4.1720 0.0000
0.0000 0.0000 6.5769
ATOMIC_POSITIONS crystal
Sb 0.5000 0.5000 0.0000
Pm 0.0000 0.0000 0.2404
Pm 0.0000 0.0000 0.7596
Sc 0.5000 0.5000 0.5000
```

[11]
Density functional theory data (PBE) for an optimized crystal structure of PmSc2Sb3. Values from VASP.

Computed properties:
The calculation puts the density of states at the Fermi level at 0.166 states/eV/atom. Its raw total energy is -5.9377 eV per atom.

The structure in Quantum ESPRESSO input format:
```
&SYSTEM
  ibrav = 0, nat = 6, ntyp = 3
/
ATOMIC_SPECIES
Sb 121.76 Sb.upf
Sc 44.96 Sc.upf
Pm 145.00 Pm.upf
CELL_PARAMETERS angstrom
4.1955 -0.0011 -0.9558
-0.2182 4.1898 -0.9563
-0.0336 -0.0341 9.5359
ATOMIC_POSITIONS crystal
Sb 0.9340 0.9359 0.8740
Sb 0.6072 0.6085 0.2199
Sb 0.2614 0.2626 0.5280
Sc 0.0997 0.1010 0.2047
Sc 0.7689 0.7702 0.5432
Pm 0.4340 0.4359 0.8740
```

[12]
Density functional theory data (PBE) for an optimized crystal structure of Pm4ScSb5. Values from VASP.

Computed properties:
The calculation puts the density of states at the Fermi level at 0.127 states/eV/atom. Its raw total energy is -5.7033 eV per atom.

The structure in Quantum ESPRESSO input format:
```
&SYSTEM
  ibrav = 0, nat = 10, ntyp = 3
/
ATOMIC_SPECIES
Sc 44.96 Sc.upf
Pm 145.00 Pm.upf
Sb 121.76 Sb.upf
CELL_PARAMETERS angstrom
-4.1021 0.9923 -1.3971
1.0322 -1.4624 -4.0694
-3.2754 -14.1100 6.6683
ATOMIC_POSITIONS crystal
Sc 0.0000 0.0000 0.0000
Pm 0.4012 0.4012 0.8023
Pm 0.5988 0.5988 0.1977
Pm 0.8019 0.8019 0.6037
Pm 0.1981 0.1981 0.3963
Sb 0.5000 0.5000 0.0000
Sb 0.9046 0.9046 0.8091
Sb 0.7000 0.7000 0.4001
Sb 0.3000 0.3000 0.5999
Sb 0.0954 0.0954 0.1909
```

no.,formation energy (no corrections) (eV per atom)
1,-0.97
2,-0.67
3,-0.36
4,-0.86
5,-0.27
6,-1.10
7,-0.96
8,-0.96
9,-0.78
10,-0.52
11,-0.97
12,-1.11